[1]
An optimized crystal structure of HfGeOs, computed with GGA-PBE.

The space group is P-62m (No. 189) and the conventional cell measures 7.3325, 7.3325 and 3.2659 Å, with angles of 90.00, 90.00 and 120.00 degrees. The asymmetric unit holds Hf at (0.0000, 0.6120, 0.0000), Ge at (0.0000, 0.2786, 0.5000), Os at (0.0000, 0.0000, 0.0000) and Os at (0.3333, 0.6667, 0.5000).

The total energy is -9.120 eV per atom.


[2]
An optimized crystal structure of Hf2GeOs, computed with GGA-PBE.

The space group is F-43m (No. 216) and the conventional cell measures 6.5390, 6.5390 and 6.5390 Å, with angles of 90.00, 90.00 and 90.00 degrees. The asymmetric unit holds Hf at (0.0000, 0.0000, 0.0000), Hf at (0.2500, 0.2500, 0.2500), Ge at (0.0000, 0.0000, 0.5000) and Os at (0.2500, 0.2500, 0.7500).

The total energy is -8.976 eV per atom.


Number 1: total moment 0.00 μB per formula unit. Number 2: total moment 0.78 μB per formula unit.